Na3Mn3MoO8 | PBE+U | optimized geometry

Cell lengths 6.334, 6.338, 6.599 Å; angles 118.72, 89.99, 120.01 degrees
Each line ends with the local moment (μB).
Fractional positions:
Na (0.500, 0.500, 0.000)  0.00
Na (0.000, 0.000, 0.000)  0.00
Na (0.000, 0.500, 0.000)  0.00
O (0.272, 0.545, 0.322)  -0.09
O (0.769, 0.984, 0.700)  0.01
O (0.231, 0.016, 0.300)  0.01
O (0.215, 0.984, 0.701)  0.01
O (0.728, 0.455, 0.678)  -0.09
O (0.785, 0.016, 0.299)  0.01
O (0.784, 0.569, 0.299)  0.01
O (0.216, 0.431, 0.701)  0.01
Mn (0.500, 0.000, 0.500)  4.45
Mn (0.000, 0.500, 0.500)  4.38
Mn (0.500, 0.500, 0.500)  4.39
Mo (0.000, 0.000, 0.500)  0.45

Values from the calculation:
Calculated total energy (eV per atom): -6.532